Entry from OQMD: crystalline LiTa3Pb5 at its relaxed geometry (PBE).

Cell: 5.7444 5.7444 9.0409 Å, 90.00 90.00 120.00°
Closest atoms and distances in Å follow each position.
Space group P6/mmm (No. 191)
Inequivalent atoms, fractional coordinates:
Li  0.0000  0.0000  0.0000  12 Pb 3.80
Ta  0.0000  0.5000  0.5000  4 Ta 2.87, 6 Pb 2.87-3.13
Pb  0.0000  0.0000  0.5000  6 Ta 2.87
Pb  0.3333  0.6667  0.2058  3 Ta 3.13, 3 Pb 3.32

Final energy: -5.899 eV/atom
Size of the total moment: 0.0001 μB/atom
Volume: 28.7 Å³/atom


Entry from OQMD: crystalline PmNbSb at its relaxed geometry (PBE).

Cell: 6.9138 6.9138 6.9138 Å, 90.00 90.00 90.00°
Closest atoms and distances in Å follow each position.
Space group F-43m (No. 216)
Inequivalent atoms, fractional coordinates:
Pm  0.0000  0.0000  0.0000  4 Sb 2.99
Nb  0.0000  0.0000  0.5000  4 Sb 2.99
Sb  0.2500  0.2500  0.7500  4 Nb 2.99, 4 Pm 2.99

Energy relative to the lowest polymorph listed for this composition: 0.000 eV/atom
Size of the total moment: 0.0975 μB/atom
Volume: 27.5 Å³/atom


Entry from OQMD: crystalline TbAuSO at its relaxed geometry (PBE).

Cell: 3.9261 3.9261 8.9292 Å, 90.00 90.00 90.00°
Closest atoms and distances in Å follow each position.
Space group P4/nmm (No. 129, origin choice 2)
Inequivalent atoms, fractional coordinates:
Tb  0.2500  0.2500  0.1268  4 O 2.27
Au  0.2500  0.7500  0.5000  4 S 2.75, 4 Au 2.78
S  0.2500  0.2500  0.7150  4 Au 2.75
O  0.2500  0.7500  0.0000  4 Tb 2.27

Energy relative to the lowest polymorph listed for this composition: 0.161 eV/atom
Size of the total moment: 0.0003 μB/atom
Volume: 17.2 Å³/atom


Entry from OQMD: crystalline RbTeOsO at its relaxed geometry (PBE).

Cell: 3.9980 3.9980 9.6686 Å, 90.00 90.00 90.00°
Closest atoms and distances in Å follow each position.
Space group P4/nmm (No. 129, origin choice 2)
Inequivalent atoms, fractional coordinates:
Rb  0.2500  0.7500  0.0000  4 Rb 2.83
Te  0.2500  0.2500  0.2852  4 O 2.88, 5 Os 2.99-3.19
Os  0.2500  0.2500  0.6154  4 O 2.29
O  0.2500  0.7500  0.5000  4 Os 2.29

Energy relative to the lowest polymorph listed for this composition: 1.057 eV/atom
Size of the total moment: 0.0172 μB/atom
Volume: 19.3 Å³/atom


Entry from OQMD: crystalline BiIr15 at its relaxed geometry (PBE).

Cell: 5.4735 3.8726 35.8161 Å, 90.00 90.01 90.00°
Closest atoms and distances in Å follow each position.
Space group P2_1/m (No. 11)
Inequivalent atoms, fractional coordinates:
Bi  0.1248  0.2500  0.2989  6 Ir 2.79-3.00
Ir  0.1251  0.2500  0.0577  12 Ir 2.73-2.75
Ir  0.1252  0.2500  0.1340  12 Ir 2.73-2.74
Ir  0.1251  0.2500  0.2102  11 Ir 2.73-2.74
Ir  0.1253  0.2500  0.8282  12 Ir 2.73-2.74
Ir  0.1254  0.2500  0.9043  12 Ir 2.73-2.74
Ir  0.1251  0.2500  0.9810  12 Ir 2.74-2.75
Ir  0.1284  0.2500  0.7517  9 Ir 2.68-2.78, 2 Bi 2.99
Ir  0.3751  0.7500  0.0192  12 Ir 2.73-2.74
Ir  0.3753  0.7500  0.0956  12 Ir 2.73-2.74
Ir  0.3753  0.7500  0.1718  12 Ir 2.73-2.74
Ir  0.3753  0.7500  0.7161  5 Ir 2.65-2.68, 2 Bi 2.79
Ir  0.3750  0.7500  0.7902  12 Ir 2.65-2.74
Ir  0.3751  0.7500  0.8664  12 Ir 2.73-2.74
Ir  0.3750  0.7500  0.9427  12 Ir 2.73-2.74
Ir  0.3787  0.7500  0.2482  9 Ir 2.68-2.78, 2 Bi 3.00

Energy relative to the lowest polymorph listed for this composition: 0.045 eV/atom
Size of the total moment: 0.0003 μB/atom
Volume: 23.7 Å³/atom


Entry from OQMD: crystalline RbZnP3O9 at its relaxed geometry (PBE).

Cell: 10.1496 10.1496 7.0746 Å, 90.00 90.00 120.00°
Closest atoms and distances in Å follow each position.
Space group R3 (No. 146, hexagonal axes)
Inequivalent atoms, fractional coordinates:
Rb  0.0000  0.0000  0.0000  6 O 2.79-2.88
Zn  0.0000  0.0000  0.5047  6 O 2.08
P  0.0089  0.4389  0.9755  4 O 1.49-1.63
O  0.0182  0.3818  0.7658  2 P 1.61-1.63
O  0.0722  0.8829  0.3306  1 P 1.49
O  0.1880  0.0835  0.6820  1 P 1.49

Final energy: -6.622 eV/atom
Volume: 15.0 Å³/atom


Entry from OQMD: crystalline AcNiP2 at its relaxed geometry (PBE).

Cell: 4.3731 15.7584 4.3014 Å, 90.00 90.00 90.00°
Closest atoms and distances in Å follow each position.
Space group Cmcm (No. 63)
Inequivalent atoms, fractional coordinates:
Ac  0.0000  0.1077  0.2500  10 P 3.09-3.26, 5 Ni 3.23-3.32
Ni  0.0000  0.3124  0.2500  5 P 2.36-2.39
P  0.0000  0.2483  0.7500  4 Ni 2.38-2.39
P  0.0000  0.4622  0.2500  1 Ni 2.36, 2 P 2.46

Final energy: -6.069 eV/atom
Size of the total moment: 0.0003 μB/atom
Volume: 18.5 Å³/atom


Entry from OQMD: crystalline CoReGeOs at its relaxed geometry (PBE).

Cell: 6.0574 6.0574 6.0574 Å, 90.00 90.00 90.00°
Closest atoms and distances in Å follow each position.
Space group F-43m (No. 216)
Inequivalent atoms, fractional coordinates:
Co  0.0000  0.0000  0.0000  4 Os 2.62, 4 Ge 2.62
Re  0.0000  0.0000  0.5000  4 Ge 2.62, 4 Os 2.62
Ge  0.2500  0.2500  0.7500  4 Co 2.62, 4 Re 2.62
Os  0.2500  0.2500  0.2500  4 Co 2.62, 4 Re 2.62

Energy relative to the lowest polymorph listed for this composition: 0.000 eV/atom
Size of the total moment: 0.3257 μB/atom
Volume: 13.9 Å³/atom


Q: What is the volume in the eighth record?
A: 13.9 Å³/atom